# ScTa2W

A geometry-optimized ScTa2W structure (PBE, the Alexandria database).

abc: 5.5452 5.5329 2.8218
angles: 80.25 80.16 117.23
Closest atoms and distances in Å follow each position.
Fractional coordinates of all 4 atoms:
Sc 0.5000 0.5000 0.0000  2 Sc 2.82, 4 Ta 2.88, 2 W 2.89
Ta 0.0000 0.0000 0.0000  4 Ta 2.82-2.89, 2 Sc 2.88, 2 W 2.88
W 0.0000 0.5000 0.5000  2 W 2.82, 4 Ta 2.88, 2 Sc 2.89
Ta 0.5000 0.0000 0.5000  4 Ta 2.82-2.89, 2 W 2.88, 2 Sc 2.88

## Properties
As for the calculated total energy: -42.4 eV per cell. The value obtained for the energy relative to the elements is 0.16 eV/atom. Its calculated volume is 73 Å³/cell.